No. 1
12
Lattice="3.8699 -6.7038 0.0000 3.8699 6.7038 0.0000 -2.5823 0.0000 8.3066" Properties=species:S:1:pos:R:3 comment="PBE K3Er2ThTe6, optimized geometry" magnetic_moment_mub_per_atom=0.000 formation_energy_uncorrected_ev_per_atom=-1.3031 pbc="T T T"
K 0.0000 0.0000 0.0000
K 3.8699 2.2138 0.0000
K 3.8699 -2.2138 0.0000
Er 2.5787 4.4674 4.1533
Er 2.5787 -4.4674 4.1533
Th 2.5787 0.0000 4.1533
Te 1.2650 2.2754 2.3946
Te -0.0500 0.0000 5.9085
Te 1.2650 -2.2754 2.3946
Te 3.8925 2.2754 5.9120
Te 5.2074 0.0000 2.3981
Te 3.8925 -2.2754 5.9120

No. 2
15
Lattice="4.4509 2.5697 8.3621 -4.4509 2.5697 8.3621 0.0000 -5.1394 8.3621" Properties=species:S:1:pos:R:3 comment="PBE K3Er3ThTe8, optimized geometry" magnetic_moment_mub_per_atom=0.000 formation_energy_uncorrected_ev_per_atom=-1.3481 pbc="T T T"
K -2.2254 -1.2849 8.3621
K -2.2254 1.2848 16.7241
K 0.0000 2.5697 8.3621
Er -4.4508 0.0000 12.5431
Er -2.2254 1.2848 4.1810
Er 2.2254 1.2849 4.1810
Th 0.0000 0.0000 12.5431
Te -2.2770 -1.3146 14.2854
Te 0.0000 0.0000 5.8995
Te 0.0000 -2.6293 10.8008
Te -2.2770 1.3146 10.8008
Te 2.2770 -1.3146 14.2854
Te 0.0000 2.6293 14.2854
Te 0.0000 0.0000 19.1867
Te 2.2770 1.3146 10.8008